Record 1
The following is a DFT calculation (PBE) of crystalline CaNpIr at its relaxed geometry.

Cell and atoms, written as POSCAR:
```
CaNpIr
1.0
5.734 0.000 0.000
0.000 4.420 0.000
-1.515 0.000 5.876
Ca Np Ir
2 2 2
direct
0.209 0.250 0.424
0.791 0.750 0.576
0.367 0.750 0.989
0.633 0.250 0.011
0.091 0.250 0.890
0.909 0.750 0.110
```

Total moment: 6.47 μB per cell
ΔH_f (0 K): -237 meV/atom

***

Record 2
The following is a DFT calculation (PBE) of crystalline CaNp2Ir9 at its relaxed geometry.

Cell and atoms, written as POSCAR:
```
CaNp2Ir9
1.0
2.647 1.528 8.772
-2.647 1.528 8.772
0.000 -3.057 8.772
Ca Np Ir
1 2 9
direct
0.000 0.000 0.000
0.140 0.140 0.140
0.860 0.860 0.860
0.081 0.585 0.585
0.333 0.333 0.333
0.415 0.415 0.919
0.415 0.919 0.415
0.500 0.500 0.500
0.585 0.081 0.585
0.585 0.585 0.081
0.667 0.667 0.667
0.919 0.415 0.415
```

Total moment: 5.16 μB per cell
ΔH_f (0 K): -305 meV/atom

***

Record 3
The following is a DFT calculation (PBE) of crystalline CaNpIr2 at its relaxed geometry.

Cell and atoms, written as POSCAR:
```
CaNpIr2
1.0
0.000 3.402 3.402
3.402 0.000 3.402
3.402 3.402 0.000
Ca Np Ir
1 1 2
direct
0.000 0.000 0.000
0.500 0.500 0.500
0.250 0.250 0.250
0.750 0.750 0.750
```

Total moment: 2.77 μB per cell
Energy above the most stable polymorph in this dataset: 0.0669 eV per atom
ΔH_f (0 K): -256 meV/atom

***

Record 4
The following is a DFT calculation (PBE) of crystalline CaNpIr4 at its relaxed geometry.

Cell and atoms, written as POSCAR:
```
CaNpIr4
1.0
0.000 3.782 3.782
3.782 0.000 3.782
3.782 3.782 0.000
Ca Np Ir
1 1 4
direct
0.000 0.000 0.000
0.750 0.750 0.750
0.375 0.375 0.375
0.375 0.375 0.876
0.375 0.876 0.375
0.876 0.375 0.375
```

Total moment: 2.97 μB per cell
ΔH_f (0 K): -451 meV/atom

***

Record 5
The following is a DFT calculation (PBE) of crystalline Ca3Np2Ir4 at its relaxed geometry.

Cell and atoms, written as POSCAR:
```
Ca3Np2Ir4
1.0
5.520 -2.156 0.000
5.520 2.156 0.000
-1.804 0.000 8.919
Ca Np Ir
3 2 4
direct
0.000 0.000 0.000
0.371 0.371 0.612
0.629 0.629 0.388
0.330 0.330 0.217
0.670 0.670 0.783
0.085 0.085 0.623
0.281 0.281 0.907
0.719 0.719 0.093
0.915 0.915 0.377
```

Total moment: 6.32 μB per cell
ΔH_f (0 K): -307 meV/atom

***

Record 6
The following is a DFT calculation (PBE) of crystalline CaNpIrO6 at its relaxed geometry.

Cell and atoms, written as POSCAR:
```
CaNpIrO6
1.0
5.193 0.000 0.000
-2.596 4.497 0.000
0.000 0.000 10.781
Ca Np Ir O
2 2 2 12
direct
0.000 0.000 0.000
0.000 0.000 0.500
0.333 0.667 0.250
0.667 0.333 0.750
0.333 0.667 0.750
0.667 0.333 0.250
0.005 0.351 0.642
0.005 0.654 0.858
0.346 0.351 0.858
0.346 0.995 0.642
0.351 0.005 0.142
0.351 0.346 0.358
0.649 0.654 0.642
0.649 0.995 0.858
0.654 0.005 0.358
0.654 0.649 0.142
0.995 0.346 0.142
0.995 0.649 0.358
```

Total moment: 0.00 μB per cell
E_form (uncorrected): -2.209 eV/atom

***

Record 7
The following is a DFT calculation (PBE) of crystalline CaNpIrPt at its relaxed geometry.

Cell and atoms, written as POSCAR:
```
CaNpIrPt
1.0
0.000 3.443 3.443
3.443 0.000 3.443
3.443 3.443 0.000
Ca Np Ir Pt
1 1 1 1
direct
0.000 0.000 0.000
0.500 0.500 0.500
0.250 0.250 0.250
0.750 0.750 0.750
```

Total moment: 3.46 μB per cell
ΔH_f (0 K): -435 meV/atom

***

Record 8
The following is a DFT calculation (PBE) of crystalline CaIrO4 at its relaxed geometry.

Cell and atoms, written as POSCAR:
```
CaIrO4
1.0
5.460 0.000 0.000
0.000 5.202 0.000
-0.608 0.000 5.140
Ca Ir O
2 2 8
direct
0.000 0.000 0.000
0.000 0.500 0.500
0.500 0.000 0.500
0.500 0.500 0.000
0.183 0.131 0.410
0.183 0.369 0.910
0.381 0.681 0.306
0.381 0.819 0.806
0.619 0.181 0.194
0.619 0.319 0.694
0.817 0.631 0.090
0.817 0.869 0.590
```

Total moment: 1.82 μB per cell
E_form (uncorrected): -1.414 eV/atom
Energy above the most stable polymorph in this dataset: 0.0000 eV per atom

***

Record 9
The following is a DFT calculation (PBE) of crystalline Ca3Ir4O12 at its relaxed geometry.

Cell and atoms, written as POSCAR:
```
Ca3Ir4O12
1.0
-3.893 3.893 3.893
3.893 -3.893 3.893
3.893 3.893 -3.893
Ca Ir O
3 4 12
direct
0.000 0.500 0.500
0.500 0.000 0.500
0.500 0.500 0.000
0.000 0.000 0.500
0.000 0.500 0.000
0.500 0.000 0.000
0.500 0.500 0.500
0.087 0.300 0.787
0.213 0.513 0.300
0.213 0.913 0.700
0.300 0.213 0.513
0.300 0.787 0.087
0.487 0.700 0.787
0.513 0.300 0.213
0.700 0.213 0.913
0.700 0.787 0.487
0.787 0.087 0.300
0.787 0.487 0.700
0.913 0.700 0.213
```

Total moment: 2.45 μB per cell
E_form (uncorrected): -1.374 eV/atom

***

Record 10
The following is a DFT calculation (PBE) of crystalline Ca2Ir2O at its relaxed geometry.

Cell and atoms, written as POSCAR:
```
Ca2Ir2O
1.0
6.524 0.000 0.000
0.000 6.524 0.000
0.000 0.000 4.430
Ca Ir O
4 4 2
direct
0.176 0.324 0.000
0.324 0.824 0.000
0.676 0.176 0.000
0.824 0.676 0.000
0.135 0.635 0.500
0.365 0.135 0.500
0.635 0.865 0.500
0.865 0.365 0.500
0.000 0.000 0.500
0.500 0.500 0.500
```

Total moment: 0.00 μB per cell
E_form (uncorrected): 0.045 eV/atom
Energy above the most stable polymorph in this dataset: 0.3299 eV per atom

***

Record 11
The following is a DFT calculation (PBE) of crystalline Ca6Ir3O14 at its relaxed geometry.

Cell and atoms, written as POSCAR:
```
Ca6Ir3O14
1.0
8.324 0.000 0.000
-4.162 7.209 0.000
0.000 0.000 5.367
Ca Ir O
6 3 14
direct
0.045 0.461 0.000
0.320 0.210 0.528
0.416 0.955 0.000
0.539 0.584 0.000
0.790 0.109 0.528
0.891 0.680 0.528
0.000 0.000 0.079
0.333 0.667 0.541
0.667 0.333 0.159
0.000 0.000 0.739
0.086 0.222 0.260
0.137 0.914 0.260
0.183 0.735 0.731
0.265 0.448 0.731
0.333 0.667 0.202
0.443 0.249 0.947
0.531 0.112 0.376
0.552 0.817 0.731
0.581 0.469 0.376
0.751 0.195 0.947
0.778 0.863 0.260
0.805 0.557 0.947
0.888 0.419 0.376
```

Total moment: 3.19 μB per cell
E_form (uncorrected): -1.810 eV/atom

***

Record 12
The following is a DFT calculation (PBE) of crystalline CaIrO2 at its relaxed geometry.

Cell and atoms, written as POSCAR:
```
CaIrO2
1.0
0.000 2.872 2.872
2.872 0.000 2.872
2.872 2.872 0.000
Ca Ir O
1 1 2
direct
0.000 0.000 0.000
0.500 0.500 0.500
0.250 0.250 0.250
0.750 0.750 0.750
```

Total moment: 0.00 μB per cell
E_form (uncorrected): -0.682 eV/atom
Energy above the most stable polymorph in this dataset: 0.7167 eV per atom